(1)
DFT (GGA-PBE) results for a geometry-optimized Ac3Mg5Pt12 structure.

Structure (CIF):
```
data_Ac3Mg5Pt12
_chemical_formula_sum 'Ac24 Mg40 Pt96'
_cell_length_a 16.072
_cell_length_b 16.072
_cell_length_c 16.072
_cell_angle_alpha 90.00
_cell_angle_beta 90.00
_cell_angle_gamma 90.00
_symmetry_space_group_name_H-M 'I a -3 d'
_symmetry_Int_Tables_number 230
_symmetry_space_group_name_Hall '-I 4bd 2c 3'
loop_
_atom_site_label
_atom_site_type_symbol
_atom_site_fract_x
_atom_site_fract_y
_atom_site_fract_z
Ac1 Ac 0.000 0.250 0.125
Mg1 Mg 0.000 0.000 0.000
Mg2 Mg 0.000 0.250 0.375
Pt1 Pt 0.007 0.068 0.646
```

(2)
DFT (GGA-PBE) results for a geometry-optimized Ac6MgPt4 structure.

Structure (CIF):
```
data_Ac6MgPt4
_chemical_formula_sum 'Ac24 Mg4 Pt16'
_cell_length_a 4.407
_cell_length_b 14.853
_cell_length_c 22.855
_cell_angle_alpha 90.00
_cell_angle_beta 90.00
_cell_angle_gamma 90.00
_symmetry_space_group_name_H-M 'C m c m'
_symmetry_Int_Tables_number 63
_symmetry_space_group_name_Hall '-C 2c 2'
loop_
_atom_site_label
_atom_site_type_symbol
_atom_site_fract_x
_atom_site_fract_y
_atom_site_fract_z
Ac1 Ac 0.000 0.000 0.000
Ac2 Ac 0.000 0.156 0.250
Ac3 Ac 0.000 0.270 0.582
Ac4 Ac 0.000 0.463 0.154
Mg1 Mg 0.000 0.159 0.750
Pt1 Pt 0.000 0.094 0.124
Pt2 Pt 0.000 0.363 0.040
```

(3)
DFT (GGA-PBE) results for a geometry-optimized AcMg4Pt structure.

Structure (CIF):
```
data_AcMg4Pt
_chemical_formula_sum 'Ac2 Mg8 Pt2'
_cell_length_a 8.862
_cell_length_b 4.296
_cell_length_c 7.812
_cell_angle_alpha 90.00
_cell_angle_beta 90.00
_cell_angle_gamma 90.00
_symmetry_space_group_name_H-M 'P m m a'
_symmetry_Int_Tables_number 51
loop_
_symmetry_equiv_pos_as_xyz
'x,y,z'
'-x,-y,-z'
'-x+1/2,-y,z'
'x+1/2,y,-z'
'x+1/2,-y,-z'
'-x+1/2,y,z'
'-x,y,-z'
'x,-y,z'
loop_
_atom_site_label
_atom_site_type_symbol
_atom_site_fract_x
_atom_site_fract_y
_atom_site_fract_z
Ac1 Ac 0.250 0.000 0.095
Mg1 Mg 0.000 0.000 0.500
Mg2 Mg 0.066 0.500 0.790
Mg3 Mg 0.250 0.500 0.461
Pt1 Pt 0.250 0.000 0.697
```

(4)
# AcMgPt GGA-PBE optimized geometry
# - Excess energy over the best structure of this formula in the dataset: 161 meV/atom
data_AcMgPt
_chemical_formula_sum 'Ac4 Mg4 Pt4'
_cell_length_a 7.060
_cell_length_b 7.060
_cell_length_c 7.060
_cell_angle_alpha 90.00
_cell_angle_beta 90.00
_cell_angle_gamma 90.00
_symmetry_space_group_name_H-M 'F -4 3 m'
_symmetry_Int_Tables_number 216
_symmetry_space_group_name_Hall 'F -4 2 3'
loop_
_atom_site_label
_atom_site_type_symbol
_atom_site_fract_x
_atom_site_fract_y
_atom_site_fract_z
Ac1 Ac 0.000 0.000 0.000
Mg1 Mg 0.000 0.000 0.500
Pt1 Pt 0.250 0.250 0.250

(5)
# Ac3MgPt GGA-PBE optimized geometry
# - Excess energy over the best structure of this formula in the dataset: 0 meV/atom
data_Ac3MgPt
_chemical_formula_sum 'Ac12 Mg4 Pt4'
_cell_length_a 10.025
_cell_length_b 7.514
_cell_length_c 11.045
_cell_angle_alpha 90.00
_cell_angle_beta 114.41
_cell_angle_gamma 90.00
_symmetry_space_group_name_H-M 'P 1 21/c 1'
_symmetry_Int_Tables_number 14
loop_
_symmetry_equiv_pos_as_xyz
'x,y,z'
'-x,-y,-z'
'-x,y+1/2,-z+1/2'
'x,-y+1/2,z+1/2'
loop_
_atom_site_label
_atom_site_type_symbol
_atom_site_fract_x
_atom_site_fract_y
_atom_site_fract_z
Ac1 Ac 0.094 0.076 0.360
Ac2 Ac 0.218 0.574 0.564
Ac3 Ac 0.363 0.068 0.753
Mg1 Mg 0.450 0.678 0.947
Pt1 Pt 0.071 0.244 0.603

(6)
DFT (GGA-PBE) results for a geometry-optimized AcMgPt2 structure.

Structure (CIF):
```
data_AcMgPt2
_chemical_formula_sum 'Ac3 Mg3 Pt6'
_cell_length_a 4.5336
_cell_length_b 4.5336
_cell_length_c 15.5525
_cell_angle_alpha 90.00
_cell_angle_beta 90.00
_cell_angle_gamma 120.00
_symmetry_space_group_name_H-M 'R -3 m'
_symmetry_Int_Tables_number 166
_symmetry_space_group_name_Hall '-R 3 2"'
loop_
_atom_site_label
_atom_site_type_symbol
_atom_site_fract_x
_atom_site_fract_y
_atom_site_fract_z
Ac1 Ac 0.0000 0.0000 0.0000
Mg1 Mg 0.0000 0.0000 0.5000
Pt1 Pt 0.0000 0.0000 0.2117
```

Number 1: uncorrected energy -4.733 eV/atom, calculated formation energy -94 meV/atom, V 4151.8 Å³ per cell. Number 2: uncorrected energy -5.449 eV/atom, calculated formation energy -866 meV/atom, V 1496.1 Å³ per cell. Number 3: uncorrected energy -3.219 eV/atom, calculated formation energy -464 meV/atom, V 297.5 Å³ per cell. Number 4: uncorrected energy -4.639 eV/atom, calculated formation energy -724 meV/atom, V 352.0 Å³ per cell. Number 5: uncorrected energy -4.438 eV/atom, calculated formation energy -446 meV/atom, V 757.7 Å³ per cell. Number 6: uncorrected energy -5.446 eV/atom, calculated formation energy -1000 meV/atom, V 276.8 Å³ per cell.